Ba3CuAs2S8, relaxed, DFT PBE; formation energy without anion corrections = -0.93 eV/atom; space group = P-3m1, No. 164; crystal system = trigonal
1.0
6.8661 0.0000 0.0000
-3.4331 5.9462 0.0000
0.0000 0.0000 8.8828
Ba Cu As S
3 1 2 8
Cartesian
0.0000 3.9642 5.5404 Ba
3.4331 1.9821 3.3424 Ba
0.0000 0.0000 0.0000 Ba
0.0000 0.0000 4.4414 Cu
0.0000 3.9642 1.8955 As
3.4331 1.9821 6.9873 As
0.0000 3.9642 8.6026 S
3.4331 1.9821 0.2802 S
-1.7940 4.9999 2.8208 S
5.2270 0.9463 6.0620 S
0.0000 1.8927 2.8208 S
3.4331 4.0536 6.0620 S
1.7940 4.9999 2.8208 S
1.6391 0.9463 6.0620 S



BaCu2AsS4, relaxed, DFT PBE; formation energy without anion corrections = -0.59 eV/atom; space group = I222, No. 23; crystal system = orthorhombic
1.0
-3.2922 -5.1624 -1.3182
2.6921 -5.7291 0.8345
-3.9701 -2.3891 4.3929
Ba Cu As S
1 2 1 4
Cartesian
0.0000 0.0000 0.0000 Ba
-1.1952 -7.1868 1.3724 Cu
-3.3750 -6.0939 2.5368 Cu
-0.6390 -4.0591 2.6137 As
-4.0004 -8.0205 3.3393 S
-2.8644 -4.1099 1.7955 S
-2.4072 -8.1415 -0.1658 S
0.1317 -6.2896 2.8494 S



Ba2Cu2AsS6, relaxed, DFT PBE; formation energy without anion corrections = -0.73 eV/atom; space group = R-3m, No. 166; crystal system = trigonal
1.0
-3.8642 5.6997 1.0175
-4.7360 1.8858 -4.7399
-7.1822 -0.9219 1.6984
Ba Cu As S
2 2 1 6
Cartesian
-11.5643 5.2155 -1.7036 Ba
-4.2181 1.4480 -0.3204 Ba
-9.0613 2.3962 -0.2151 Cu
-6.7211 4.2673 -1.8090 Cu
0.0000 0.0000 0.0000 As
-8.3753 5.5455 -2.4052 S
-6.2905 2.4704 -2.9541 S
-5.8201 4.5281 0.1521 S
-9.9623 2.1355 -2.1762 S
-9.4919 4.1931 0.9300 S
-7.4071 1.1180 0.3811 S



Ba2CuSbAs, relaxed, DFT PBE; formation energy without anion corrections = -0.13 eV/atom; space group = P4/mmm, No. 123; crystal system = tetragonal
1.0
-6.2678 0.6711 0.2404
-0.3095 -4.0807 3.3230
0.6091 3.9368 4.8912
Sb As Ba Cu
1 1 2 1
Cartesian
-0.1548 -2.0404 1.6615 Sb
0.0000 0.0000 0.0000 As
0.3046 1.9684 2.4456 Ba
-3.1339 0.3356 0.1202 Ba
-2.9841 0.2636 4.2273 Cu



Ba2CuSbAs, relaxed, DFT PBE; formation energy without anion corrections = -0.75 eV/atom; space group = P2_1/m, No. 11; crystal system = monoclinic
1.0
-0.4287 -3.4887 -2.9565
2.0345 -4.9561 5.5533
-10.1947 1.0036 0.2940
Ba Cu Sb As
4 2 2 2
Cartesian
-4.7775 -5.9077 2.3124 Ba
0.8509 -6.3151 1.9770 Ba
-3.8114 -1.5335 0.5784 Ba
-9.4398 -1.1261 0.9138 Ba
-6.6397 -2.6271 2.2790 Cu
-1.9492 -4.8141 0.6118 Cu
-1.7800 -3.9002 3.0765 Sb
-6.8090 -3.5410 -0.1857 Sb
-6.8468 -4.1046 4.0525 As
-1.7422 -3.3366 -1.1616 As



BaCu3SbAs, relaxed, DFT PBE; formation energy without anion corrections = -0.23 eV/atom; space group = Cmcm, No. 63; crystal system = orthorhombic
1.0
-3.4691 -1.3802 5.1431
3.3829 -5.2411 0.8753
3.0032 6.3466 3.7289
Ba Cu Sb As
2 6 2 2
Cartesian
0.3074 1.2738 6.4393 Ba
2.6096 -1.5485 3.3080 Ba
1.4530 1.4965 3.3451 Cu
0.7147 -1.1073 0.1849 Cu
0.9336 -4.8238 3.2619 Cu
-1.0198 -1.7974 2.7565 Cu
2.6682 -4.1337 0.6904 Cu
1.4639 -1.7713 6.4022 Cu
3.0425 2.7581 4.7557 Sb
-0.1255 -3.0328 4.9915 Sb
-0.0218 0.3260 2.0361 As
2.9388 -0.6007 7.7111 As



Ba2Cu4SbAs3, relaxed, DFT PBE; formation energy without anion corrections = -0.49 eV/atom; space group = P-4m2, No. 115; crystal system = tetragonal
1.0
4.5226 0.0000 0.0000
0.0000 4.5226 0.0000
0.0000 0.0000 10.4189
Ba Cu Sb As
2 4 1 3
Cartesian
2.2613 0.0000 2.4597 Ba
0.0000 2.2613 7.9592 Ba
2.2613 2.2613 0.0000 Cu
0.0000 0.0000 0.0000 Cu
2.2613 0.0000 6.6074 Cu
0.0000 2.2613 3.8115 Cu
2.2613 2.2613 5.2094 Sb
0.0000 0.0000 5.2094 As
2.2613 0.0000 9.1372 As
0.0000 2.2613 1.2817 As



BaCuAs2Se, relaxed, DFT PBE; formation energy without anion corrections = 1.22 eV/atom; space group = P4/mmm, No. 123; crystal system = tetragonal
1.0
6.1971 0.0000 0.0000
0.0000 6.1971 0.0000
0.0000 0.0000 6.0093
As Cu Ba Se
2 1 1 1
Cartesian
0.0000 3.0985 0.0000 As
3.0985 0.0000 0.0000 As
3.0985 3.0985 3.0046 Cu
0.0000 0.0000 0.0000 Ba
0.0000 0.0000 3.0046 Se



BaCu2As2Se6, relaxed, DFT PBE; formation energy without anion corrections = -0.37 eV/atom; space group = P-1, No. 2; crystal system = triclinic
1.0
6.6721 0.0727 0.0049
3.4221 10.1733 1.1684
-0.0471 -5.0504 4.3150
Ba Cu As Se
1 2 2 6
Cartesian
3.3125 -2.4889 2.1600 Ba
3.3094 3.5793 4.3738 Cu
6.7376 1.6163 1.1145 Cu
6.6700 -0.2072 4.1769 As
3.3769 5.4028 1.3114 As
5.0536 1.9820 4.7544 Se
1.7834 3.1688 0.7557 Se
3.3396 5.8149 3.7373 Se
8.2636 2.0268 4.7327 Se
6.7074 -0.6193 1.7510 Se
4.9934 3.2135 0.7339 Se



BaCuAs2Se, relaxed, DFT PBE; formation energy without anion corrections = -0.35 eV/atom; space group = P4/mmm, No. 123; crystal system = tetragonal
1.0
-2.6190 1.7945 3.6303
-0.4853 -4.4313 1.8403
4.3857 0.6917 2.8220
As Cu Ba Se
2 1 1 1
Cartesian
-0.2426 -2.2156 0.9202 As
-1.3095 0.8973 1.8152 As
0.0000 0.0000 0.0000 Cu
0.6407 -0.9725 4.1463 Ba
2.1928 0.3459 1.4110 Se



BaCuAsSe3, relaxed, DFT PBE; formation energy without anion corrections = -0.74 eV/atom; space group = P2_1/m, No. 11; crystal system = monoclinic
1.0
4.1071 0.0000 0.0000
0.0000 8.6180 -0.1322
0.0000 -2.4074 8.8448
Ba Cu As Se
2 2 2 6
Cartesian
1.0268 1.0433 2.2319 Ba
3.0803 5.1674 6.4806 Ba
1.0268 -0.7750 5.1529 Cu
3.0803 6.9857 3.5596 Cu
1.0268 5.4035 1.1556 As
3.0803 0.8072 7.5569 As
3.0803 7.2218 1.0309 Se
1.0268 -1.0112 7.6817 Se
1.0268 5.5659 3.9839 Se
3.0803 0.6447 4.7286 Se
3.0803 3.5543 1.3122 Se
1.0268 2.6564 7.4003 Se



BaCuSnAs, relaxed, DFT PBE; formation energy from the elements = -11.213 kcal/mol of atoms; space group = P4/nmm, No. 129; crystal system = tetragonal
1.0
-3.5228 1.1964 2.1478
-0.7634 -4.0997 1.0315
6.4777 1.2867 9.9080
Ba Cu Sn As
2 2 2 2
Cartesian
-1.7397 -1.8845 4.6406 Ba
3.9312 0.2678 8.4467 Ba
-2.8330 -0.1276 1.8687 Cu
-1.4533 -2.7757 1.3106 Cu
1.7856 -2.1324 6.2646 Sn
0.4059 0.5157 6.8227 Sn
2.5636 -1.0298 11.2227 As
-0.3721 -0.5869 1.8646 As



BaSrCuAs, relaxed, DFT PBE; formation energy from the elements = -13.157 kcal/mol of atoms; space group = F-43m, No. 216; crystal system = cubic
1.0
5.5114 0.0000 0.0000
2.7557 4.7730 0.0000
2.7557 1.5910 4.5000
Sr As Ba Cu
1 1 1 1
Cartesian
0.0000 0.0000 0.0000 Sr
8.2670 4.7730 3.3750 As
5.5114 3.1820 2.2500 Ba
2.7557 1.5910 1.1250 Cu



BaU2CuAs4, relaxed, DFT PBE; formation energy from the elements = -16.447 kcal/mol of atoms; space group = Cmcm, No. 63; crystal system = orthorhombic
1.0
4.1856 0.0000 0.0000
-2.0928 7.0005 0.0000
0.0000 0.0000 13.9084
Ba U Cu As
2 4 2 8
Cartesian
0.0000 1.5444 10.4313 Ba
2.0928 5.4561 3.4771 Ba
0.0000 5.1767 7.7818 U
2.0928 1.8238 0.8276 U
2.0928 1.8238 6.1267 U
0.0000 5.1767 13.0809 U
2.0928 4.7811 10.4313 Cu
0.0000 2.2194 3.4771 Cu
0.0000 3.6368 1.5084 As
2.0928 3.3637 8.4626 As
2.0928 3.3637 12.4000 As
0.0000 3.6368 5.4458 As
0.0000 0.0000 6.9542 As
0.0000 0.0000 0.0000 As
0.0000 6.0619 10.4313 As
2.0928 0.9385 3.4771 As



Ba2UCu2As4, relaxed, DFT PBE; formation energy from the elements = -16.729 kcal/mol of atoms; space group = C2/m, No. 12; crystal system = monoclinic
1.0
-0.1229 -4.0318 1.3501
2.5924 -2.2853 -6.5887
5.8794 3.3945 3.9715
Ba U Cu As
2 1 2 4
Cartesian
3.1851 -0.9686 -2.6026 Ba
5.1638 -1.9540 1.3354 Ba
0.0000 0.0000 0.0000 U
4.4483 -3.7941 -4.2248 Cu
3.9005 0.8715 2.9577 Cu
2.6882 0.1654 0.7388 As
5.6607 -3.0881 -2.0059 As
1.9875 -3.7250 -4.2424 As
6.3614 0.8024 2.9752 As



BaUCuAs3, relaxed, DFT PBE; formation energy from the elements = -16.547 kcal/mol of atoms; space group = Cmcm, No. 63; crystal system = orthorhombic
1.0
4.2003 0.0000 0.0000
-2.1002 7.0077 0.0000
0.0000 0.0000 10.4529
Ba U Cu As
2 2 2 6
Cartesian
2.1002 3.4357 7.8397 Ba
0.0000 3.5720 2.6132 Ba
0.0000 0.0000 5.2264 U
0.0000 0.0000 0.0000 U
0.0000 6.5784 7.8397 Cu
2.1002 0.4293 2.6132 Cu
2.1002 1.7469 4.6744 As
0.0000 5.2608 5.7784 As
0.0000 5.2608 9.9009 As
2.1002 1.7469 0.5520 As
0.0000 0.8821 7.8397 As
2.1002 6.1256 2.6132 As



BaZn2Cu2As3, relaxed, DFT PBE; formation energy from the elements = -9.340 kcal/mol of atoms; space group = Cmcm, No. 63; crystal system = orthorhombic
1.0
6.6985 0.0004 0.0000
-5.3815 3.9887 0.0000
0.0000 0.0000 12.2748
Ba Zn Cu As
2 4 4 6
Cartesian
-3.2341 3.2798 3.0687 Ba
4.5511 0.7094 9.2061 Ba
4.6437 0.6788 0.7074 Zn
-3.3266 3.3103 11.5674 Zn
-3.3266 3.3103 6.8447 Zn
4.6437 0.6788 5.4300 Zn
0.1020 2.1783 1.7781 Cu
1.2151 1.8108 10.4967 Cu
1.2151 1.8108 7.9154 Cu
0.1020 2.1783 4.3593 Cu
2.1353 1.5070 0.5556 As
-0.8182 2.4821 11.7192 As
-0.8182 2.4821 6.6929 As
2.1353 1.5070 5.5818 As
5.5435 0.3817 3.0687 As
-4.2265 3.6074 9.2061 As



BaZr2CuAs4, relaxed, DFT PBE; formation energy from the elements = -19.167 kcal/mol of atoms; space group = Cmcm, No. 63; crystal system = orthorhombic
1.0
-2.3019 -1.7355 -2.7773
0.9331 -4.8992 5.1730
-11.1440 4.5970 6.3638
Ba Zr Cu As
2 4 2 8
Cartesian
-8.4087 2.1054 5.6537 Ba
-4.1041 -4.1431 3.1058 Ba
-6.4203 -1.7223 6.3976 Zr
-1.8919 -2.0482 -0.0368 Zr
-6.0926 -0.3154 2.3619 Zr
-10.6209 0.0105 8.7964 Zr
-9.6581 -1.3682 5.9751 Cu
-2.8547 -0.6695 2.7844 Cu
-1.2878 -2.4959 2.6271 As
-8.0034 -0.8707 4.2927 As
-11.2250 0.4582 6.1324 As
-4.5094 -1.1670 4.4668 As
-5.5720 2.2985 3.1819 As
0.0000 0.0000 0.0000 As
-8.5484 -1.5909 8.0793 As
-3.9645 -0.4468 0.6803 As



BaDyAs2, relaxed, DFT PBE; formation energy from the elements = -26.117 kcal/mol of atoms; space group = R-3m, No. 166; crystal system = trigonal
1.0
-3.5644 1.1096 2.2745
-0.0273 -0.3998 4.3530
1.3655 7.1367 2.8590
As Ba Dy
2 1 1
Cartesian
-0.6701 1.6560 2.3428 As
-1.5561 6.1905 7.1436 As
-1.1131 3.9233 4.7432 Ba
0.0000 0.0000 0.0000 Dy



BaDyAs2, relaxed, DFT PBE; formation energy from the elements = -24.966 kcal/mol of atoms; space group = R3m, No. 160; crystal system = trigonal
1.0
-2.9191 2.9288 1.0241
-4.1224 -0.7376 -0.7808
-3.1064 -2.4923 7.1336
Ba Dy As
1 1 2
Cartesian
-5.0807 -0.1792 3.7512 Ba
-7.7954 -1.0091 7.2468 Dy
-2.9469 -1.8153 5.6522 As
-2.5051 0.0598 1.5486 As



Ba3DyAs3, relaxed, DFT PBE; formation energy from the elements = -26.807 kcal/mol of atoms; space group = P2_1/c, No. 14; crystal system = monoclinic
1.0
-2.0005 7.5165 -3.0801
-7.6298 -3.8320 -4.3960
-6.5816 2.8529 11.2368
Ba Dy As
12 4 12
Cartesian
-14.3855 5.2766 3.0808 Ba
-10.7254 2.4624 -1.9689 Ba
-10.1612 1.2165 4.2482 Ba
-9.8711 4.8219 1.5620 Ba
-6.9339 0.0286 -1.4680 Ba
-6.6552 3.6768 -4.1717 Ba
-9.5567 2.8606 7.9325 Ba
-9.2780 6.5088 5.2288 Ba
-6.3407 1.7155 2.1988 Ba
-6.0506 5.3209 -0.4874 Ba
-5.4865 4.0750 5.7297 Ba
-1.8263 1.2608 0.6800 Ba
-13.3996 2.5276 5.6649 Dy
-9.4880 -1.2314 1.0023 Dy
-6.7238 7.7688 2.7585 Dy
-2.8122 4.0098 -1.9041 Dy
-12.9239 5.5514 0.2027 As
-8.8061 1.0174 -4.1424 As
-12.2785 0.7547 7.4747 As
-9.5756 1.5372 0.9511 As
-11.4939 4.3072 4.7568 As
-8.8762 5.4095 -1.8978 As
-7.3357 1.1279 5.6586 As
-4.7179 2.2302 -0.9960 As
-6.6363 5.0002 2.8097 As
-3.9333 5.7827 -3.7139 As
-7.4058 5.5200 7.9032 As
-3.2879 0.9860 3.5581 As



BaLi2DyAs2, relaxed, DFT PBE; formation energy from the elements = -22.296 kcal/mol of atoms; space group = P-3m1, No. 164; crystal system = trigonal
1.0
-1.8832 0.9896 3.8143
-2.3815 -0.0606 -3.6605
-1.7327 -8.1630 1.2624
Ba Li Dy As
1 2 1 2
Cartesian
0.0000 0.0000 0.0000 Ba
-3.4630 -5.5881 -0.2599 Li
-2.5344 -1.6459 1.6761 Li
-0.8663 -4.0815 0.6312 Dy
-2.7302 -2.1356 -0.7939 As
-3.2672 -5.0983 2.2101 As



Values for electronic total energy, Ry/atom, ordered as above
-0.342, -0.330, -0.330, -0.256, -0.301, -0.299, -0.317, -0.187, -0.297, -0.302, -0.313, -0.305, -0.269, -0.486, -0.396, -0.436, -0.274, -0.444, -0.374, -0.370, -0.341, -0.312
Values for volume, A^3/atom, ordered as above
25.905, 24.113, 23.874, 41.956, 34.595, 24.352, 21.311, 46.156, 30.100, 24.472, 25.979, 27.468, 29.594, 25.471, 25.120, 25.640, 20.499, 23.536, 30.571, 30.612, 38.131, 23.236